--- P ---
First-principles (GGA-PBE) data for a relaxed HfGaNiAs crystal, as listed in the Alexandria database.

The total magnetic moment is 0.0 Bohr magnetons per cell. For the density, the calculation gives 8145 kg/m3.

It has space group P1 (No. 1), with a = 3.5647 Å, b = 4.5934 Å, c = 5.3647 Å, α = 104.83°, β = 90.10° and γ = 112.69°. The distinct sites, in fractional coordinates, are Hf at (0.0000, 0.0000, 0.0000), Ga at (0.1370, 0.2768, 0.5565), Ni at (0.6884, 0.3782, 0.8895) and As at (0.3349, 0.6676, 0.2203).



--- Q ---
First-principles (GGA-PBE) data for a relaxed HfGaNiAs crystal, as listed in the Alexandria database.

The total magnetic moment is 0.0 Bohr magnetons per cell. For the density, the calculation gives 8947 kg/m3.

It has space group R3m (No. 160, hexagonal axes), with a = 3.8253 Å, b = 3.8253 Å, c = 16.7767 Å, α = 90.00°, β = 90.00° and γ = 120.00°. The distinct sites, in fractional coordinates, are Hf at (0.0000, 0.0000, 0.0000), Ga at (0.0000, 0.0000, 0.8049), Ni at (0.0000, 0.0000, 0.4182) and As at (0.0000, 0.0000, 0.5641).



--- R ---
First-principles (GGA-PBE) data for a relaxed HfGaNiAs crystal, as listed in the Alexandria database.

The total magnetic moment is 0.0 Bohr magnetons per cell. For the density, the calculation gives 8961 kg/m3.

It has space group Pm (No. 6), with a = 4.1697 Å, b = 3.8524 Å, c = 4.6669 Å, α = 90.00°, β = 109.30° and γ = 90.00°. The distinct sites, in fractional coordinates, are Hf at (0.0000, 0.0000, 0.0000), Ga at (0.2495, 0.5000, 0.5626), Ni at (0.4292, 0.5000, 0.1083) and As at (0.7010, 0.0000, 0.4101).



--- S ---
First-principles (GGA-PBE) data for a relaxed HfGaNiAs crystal, as listed in the Alexandria database.

The total magnetic moment is 0.0 Bohr magnetons per cell. For the density, the calculation gives 9673 kg/m3.

It has space group Pmm2 (No. 25), with a = 3.5245 Å, b = 3.7511 Å, c = 4.9580 Å, α = 90.00°, β = 90.00° and γ = 90.00°. The distinct sites, in fractional coordinates, are Hf at (0.0000, 0.0000, 0.0000), Ga at (0.0000, 0.5000, 0.5815), Ni at (0.5000, 0.0000, 0.4948) and As at (0.5000, 0.5000, 0.1623).



Relative calculated energies, zero for the most stable structure, unit eV/atom: P 0.308; Q 0.062; R 0.011; S 0.000.